1.
The following is a DFT calculation (PBE) of crystalline Sr2TbThP4 at its relaxed geometry.

a = 4.2251 Å, b = 7.2784 Å, c = 7.4284 Å
α = 109.20°, β = 90.00°, γ = 90.00°
Positions (direct):
Sr 0.0000 0.5000 0.5000
Sr 0.5000 0.0000 0.5000
P 0.0000 0.2569 0.7755
P 0.0000 0.7431 0.2245
P 0.5000 0.7606 0.7765
P 0.5000 0.2394 0.2235
Th 0.5000 0.5000 0.0000
Tb 0.0000 0.0000 0.0000

---

2.
The following is a DFT calculation (PBE) of crystalline Sr3TbU2P6 at its relaxed geometry.

a = 7.1528 Å, b = 7.1528 Å, c = 7.3257 Å
α = 99.37°, β = 99.37°, γ = 119.99°
Site moments in Bohr magnetons follow the coordinates.
Positions (direct):
P 0.2729 0.2729 0.7866  -0.05
P 0.9287 0.5845 0.7866  -0.05
P 0.4155 0.0713 0.2134  -0.05
P 0.0713 0.4155 0.2134  -0.05
P 0.7271 0.7271 0.2134  -0.05
P 0.5845 0.9287 0.7866  -0.05
U 0.3330 0.6670 0.0000  1.59
U 0.6670 0.3330 0.0000  1.59
Sr 0.1644 0.8356 0.5000  0.00
Sr 0.8356 0.1644 0.5000  0.00
Sr 0.5000 0.5000 0.5000  0.00
Tb 0.0000 0.0000 0.0000  0.01

---

3.
The following is a DFT calculation (PBE) of crystalline Sr2TbUP4 at its relaxed geometry.

a = 4.1582 Å, b = 7.1310 Å, c = 7.3277 Å
α = 108.91°, β = 90.00°, γ = 90.00°
Site moments in Bohr magnetons follow the coordinates.
Positions (direct):
P 0.0000 0.2723 0.7879  -0.04
P 0.0000 0.7277 0.2121  -0.04
P 0.5000 0.2528 0.2160  -0.03
P 0.5000 0.7472 0.7840  -0.03
Sr 0.0000 0.5000 0.5000  0.00
Sr 0.5000 0.0000 0.5000  -0.01
Tb 0.0000 0.0000 0.0000  -0.01
U 0.5000 0.5000 0.0000  1.26

---

4.
The following is a DFT calculation (PBE) of crystalline Sr2TcP at its relaxed geometry.

a = 11.1969 Å, b = 11.1969 Å, c = 8.2287 Å
α = 47.13°, β = 47.13°, γ = 90.00°
Site moments in Bohr magnetons follow the coordinates.
Positions (direct):
P 0.2500 0.7500 0.5000  -0.02
P 0.5000 0.5000 0.0000  -0.02
Tc 0.7500 0.2500 0.5000  0.54
Tc 0.0000 0.0000 0.0000  0.55
Sr 0.3009 0.6250 0.2500  -0.02
Sr 0.8750 0.6991 0.7500  -0.02
Sr 0.3750 0.5509 0.7500  -0.02
Sr 0.4491 0.1250 0.2500  -0.02

---

5.
The following is a DFT calculation (PBE) of crystalline Sr2TcP at its relaxed geometry.

a = 8.6765 Å, b = 8.6765 Å, c = 8.6765 Å
α = 27.30°, β = 27.30°, γ = 27.30°
Site moments in Bohr magnetons follow the coordinates.
Positions (direct):
P 0.2082 0.2082 0.2082  0.00
Tc 0.5418 0.5418 0.5418  0.14
Sr 0.9633 0.9633 0.9633  0.02
Sr 0.7867 0.7867 0.7867  0.02

---

6.
The following is a DFT calculation (PBE) of crystalline Sr4TcP at its relaxed geometry.

a = 6.6628 Å, b = 6.6628 Å, c = 6.6628 Å
α = 60.00°, β = 60.00°, γ = 60.00°
Site moments in Bohr magnetons follow the coordinates.
Positions (direct):
Sr 0.3754 0.8739 0.3754  -0.10
Sr 0.8739 0.3754 0.3754  -0.10
Sr 0.3754 0.3754 0.3754  -0.10
Sr 0.3754 0.3754 0.8739  -0.10
P 0.0000 0.0000 0.0000  0.04
Tc 0.7500 0.7500 0.7500  2.84

---

7.
The following is a DFT calculation (PBE) of crystalline SrTcP at its relaxed geometry.

a = 4.9058 Å, b = 4.9058 Å, c = 4.9058 Å
α = 60.00°, β = 60.00°, γ = 60.00°
Site moments in Bohr magnetons follow the coordinates.
Positions (direct):
P 0.5000 0.5000 0.5000  0.05
Sr 0.2500 0.2500 0.2500  0.08
Tc 0.0000 0.0000 0.0000  3.07

---

8.
The following is a DFT calculation (PBE) of crystalline Sr2TcP at its relaxed geometry.

a = 5.4394 Å, b = 5.4394 Å, c = 3.4578 Å
α = 90.00°, β = 90.00°, γ = 103.08°
Site moments in Bohr magnetons follow the coordinates.
Positions (direct):
P 0.5000 0.5000 0.5000  -0.06
Sr 0.0000 0.5000 0.0000  -0.01
Sr 0.5000 0.0000 0.0000  -0.01
Tc 0.0000 0.0000 0.5000  1.90

---

9.
The following is a DFT calculation (PBE) of crystalline SrTc3P at its relaxed geometry.

a = 4.8095 Å, b = 4.8095 Å, c = 4.8095 Å
α = 90.00°, β = 90.00°, γ = 90.00°
Site moments in Bohr magnetons follow the coordinates.
Positions (direct):
Tc 0.0000 0.5000 0.0000  1.05
Tc 0.0000 0.0000 0.5000  1.05
Tc 0.5000 0.0000 0.0000  1.10
Sr 0.0000 0.0000 0.0000  -0.02
P 0.5000 0.5000 0.5000  -0.12

---

10.
The following is a DFT calculation (PBE) of crystalline Sr2TcP at its relaxed geometry.

a = 6.0973 Å, b = 6.0973 Å, c = 6.0973 Å
α = 137.17°, β = 137.17°, γ = 62.17°
Site moments in Bohr magnetons follow the coordinates.
Positions (direct):
Sr 0.0000 0.0000 0.0000  -0.02
Sr 0.2500 0.7500 0.5000  0.02
Tc 0.5000 0.5000 0.0000  2.53
P 0.7500 0.2500 0.5000  0.06

---

11.
The following is a DFT calculation (PBE) of crystalline Sr2TcP at its relaxed geometry.

a = 4.1981 Å, b = 4.1981 Å, c = 6.5828 Å
α = 90.00°, β = 90.00°, γ = 90.00°
Site moments in Bohr magnetons follow the coordinates.
Positions (direct):
Tc 0.0000 0.0000 0.4890  2.97
Sr 0.0000 0.0000 0.9321  0.03
Sr 0.5000 0.5000 0.3099  0.04
P 0.5000 0.5000 0.7690  0.16

---

12.
The following is a DFT calculation (PBE) of crystalline Sr2TcP at its relaxed geometry.

a = 3.3546 Å, b = 3.3546 Å, c = 9.0593 Å
α = 90.00°, β = 90.00°, γ = 90.00°
Positions (direct):
Tc 0.0000 0.0000 0.5806
Sr 0.0000 0.0000 0.9126
Sr 0.5000 0.5000 0.3278
P 0.5000 0.5000 0.6791

---

13.
The following is a DFT calculation (PBE) of crystalline SrTc5P3 at its relaxed geometry.

a = 4.0696 Å, b = 6.7365 Å, c = 11.4858 Å
α = 90.00°, β = 90.00°, γ = 107.58°
Site moments in Bohr magnetons follow the coordinates.
Positions (direct):
P 0.8832 0.7664 0.2500  0.00
P 0.1168 0.2336 0.7500  0.00
P 0.6283 0.2566 0.4543  0.00
P 0.3717 0.7434 0.9543  0.00
P 0.6283 0.2566 0.0457  0.00
P 0.3717 0.7434 0.5457  0.00
Tc 0.1905 0.3809 0.9423  0.01
Tc 0.8095 0.6191 0.4423  0.01
Tc 0.4611 0.9221 0.3562  0.01
Tc 0.0000 0.0000 0.5000  0.17
Tc 0.5389 0.0779 0.8562  0.01
Tc 0.0000 0.0000 0.0000  0.17
Tc 0.4611 0.9221 0.1438  0.01
Tc 0.1905 0.3809 0.5577  0.01
Tc 0.5389 0.0779 0.6438  0.01
Tc 0.8095 0.6191 0.0577  0.01
Sr 0.1731 0.3462 0.2500  0.00
Sr 0.8269 0.6538 0.7500  0.00

---

14.
The following is a DFT calculation (PBE) of crystalline SrTc3P at its relaxed geometry.

a = 4.5620 Å, b = 4.5620 Å, c = 4.5620 Å
α = 90.00°, β = 90.00°, γ = 90.00°
Site moments in Bohr magnetons follow the coordinates.
Positions (direct):
Tc 0.5000 0.0000 0.0000  0.48
Tc 0.0000 0.5000 0.0000  0.73
Tc 0.0000 0.0000 0.5000  0.72
P 0.0000 0.0000 0.0000  -0.03
Sr 0.5000 0.5000 0.5000  0.02

---

| no. | DFT total energy (eV per atom) | formation energy (eV per atom) | V (A^3/atom) |
| --- | --- | --- | --- |
| 1 | -5.902 | -1.27 | 26.97 |
| 2 | -6.533 | -1.14 | 25.58 |
| 3 | -6.300 | -1.18 | 25.69 |
| 4 | -4.840 | -0.06 | 35.13 |
| 5 | -5.145 | -0.36 | 30.32 |
| 6 | -2.644 | 1.11 | 34.86 |
| 7 | -4.463 | 1.36 | 27.83 |
| 8 | -4.434 | 0.35 | 24.91 |
| 9 | -4.479 | 3.16 | 22.25 |
| 10 | -4.370 | 0.42 | 25.88 |
| 11 | -4.252 | 0.53 | 29.00 |
| 12 | -4.919 | -0.13 | 25.49 |
| 13 | -8.137 | -0.39 | 16.68 |
| 14 | -7.260 | 0.38 | 18.99 |